This record from the Open Quantum Materials Database describes crystalline NdAgGeTe2S at its relaxed geometry. The functional is GGA-PBE.

Unit cell a=7.621 b=7.621 c=10.457 alpha=90.00 beta=90.00 gamma=147.65
Fractional positions:
Nd (0.000, 0.000, 0.000)
Nd (0.000, 0.000, 0.500)
Ag (0.484, 0.516, 0.750)
Ag (0.516, 0.484, 0.250)
Ge (0.232, 0.768, 0.250)
Ge (0.768, 0.232, 0.750)
Te (0.341, 0.659, 0.565)
Te (0.341, 0.659, 0.935)
Te (0.659, 0.341, 0.065)
Te (0.659, 0.341, 0.435)
S (0.081, 0.919, 0.750)
S (0.919, 0.081, 0.250)

Calculated values
- total magnetic moment (μB per atom) = 0.00
- energy (eV for the cell shown) = -52.5
- symmetry = Cmcm

This record from the Open Quantum Materials Database describes crystalline NdAgGeSe3 at its relaxed geometry. The functional is GGA-PBE.

Unit cell a=6.998 b=6.998 c=11.044 alpha=90.00 beta=90.00 gamma=146.33
Fractional positions:
Nd (0.000, 0.000, 0.000)
Nd (0.000, 0.000, 0.500)
Ag (0.478, 0.522, 0.750)
Ag (0.522, 0.478, 0.250)
Ge (0.228, 0.772, 0.250)
Ge (0.772, 0.228, 0.750)
Se (0.109, 0.891, 0.750)
Se (0.349, 0.651, 0.572)
Se (0.349, 0.651, 0.928)
Se (0.651, 0.349, 0.072)
Se (0.651, 0.349, 0.428)
Se (0.891, 0.109, 0.250)

Calculated values
- total magnetic moment (μB per atom) = 0.00
- energy (eV for the cell shown) = -54.4
- symmetry = Cmcm

This record from the Open Quantum Materials Database describes crystalline NdAgGeTe2Se at its relaxed geometry. The functional is GGA-PBE.

Unit cell a=7.522 b=7.522 c=10.842 alpha=90.00 beta=90.00 gamma=147.34
Fractional positions:
Nd (0.000, 0.000, 0.000)
Nd (0.000, 0.000, 0.500)
Ag (0.482, 0.518, 0.750)
Ag (0.518, 0.482, 0.250)
Ge (0.237, 0.763, 0.250)
Ge (0.763, 0.237, 0.750)
Te (0.342, 0.658, 0.570)
Te (0.342, 0.658, 0.930)
Te (0.658, 0.342, 0.070)
Te (0.658, 0.342, 0.430)
Se (0.095, 0.905, 0.750)
Se (0.905, 0.095, 0.250)

Calculated values
- total magnetic moment (μB per atom) = 0.00
- energy (eV for the cell shown) = -51.2
- symmetry = Cmcm